(1)
SrCoRe after structural relaxation. Source: Alexandria via LeMat-Bulk, functional PBE.

The structure in CIF format:
```
data_SrCoRe
_symmetry_space_group_name_H-M 'P n m a'
_symmetry_Int_Tables_number 62
_cell_length_a 7.4675
_cell_length_b 4.1031
_cell_length_c 8.6015
_cell_angle_alpha 90.00
_cell_angle_beta 90.00
_cell_angle_gamma 90.00
loop_
_symmetry_equiv_pos_as_xyz
'x,y,z'
'-x,-y,-z'
'-x+1/2,-y,z+1/2'
'x+1/2,y,-z+1/2'
'x+1/2,-y+1/2,-z+1/2'
'-x+1/2,y+1/2,z+1/2'
'-x,y+1/2,-z'
'x,-y+1/2,z'
loop_
_atom_site_label
_atom_site_type_symbol
_atom_site_fract_x
_atom_site_fract_y
_atom_site_fract_z
Sr1 Sr 0.9996 0.2500 0.1844
Co1 Co 0.1712 0.2500 0.5690
Re1 Re 0.1389 0.7500 0.4490
```


(2)
SrCoRe2 after structural relaxation. Source: Alexandria via LeMat-Bulk, functional PBE.

The structure in CIF format:
```
data_SrCoRe2
_symmetry_space_group_name_H-M 'P 1 2/m 1'
_symmetry_Int_Tables_number 10
_cell_length_a 3.8946
_cell_length_b 4.4112
_cell_length_c 5.2891
_cell_angle_alpha 90.00
_cell_angle_beta 107.20
_cell_angle_gamma 90.00
loop_
_symmetry_equiv_pos_as_xyz
'x,y,z'
'-x,-y,-z'
'-x,y,-z'
'x,-y,z'
loop_
_atom_site_label
_atom_site_type_symbol
_atom_site_fract_x
_atom_site_fract_y
_atom_site_fract_z
Sr1 Sr 0.0000 0.0000 0.0000
Co1 Co 0.5000 0.0000 0.5000
Re1 Re 0.3083 0.5000 0.6374
```


(3)
SrCoRe2 after structural relaxation. Source: Alexandria via LeMat-Bulk, functional PBE.

The structure in CIF format:
```
data_SrCoRe2
_symmetry_space_group_name_H-M 'I m m m'
_symmetry_Int_Tables_number 71
_symmetry_space_group_name_Hall '-I 2 2'
_cell_length_a 2.7152
_cell_length_b 4.7132
_cell_length_c 10.6593
_cell_angle_alpha 90.00
_cell_angle_beta 90.00
_cell_angle_gamma 90.00
loop_
_atom_site_label
_atom_site_type_symbol
_atom_site_fract_x
_atom_site_fract_y
_atom_site_fract_z
Sr1 Sr 0.0000 0.0000 0.0000
Co1 Co 0.0000 0.0000 0.5000
Re1 Re 0.0000 0.5000 0.2095
```


(4)
SrCoRe after structural relaxation. Source: Alexandria via LeMat-Bulk, functional PBE.

The structure in CIF format:
```
data_SrCoRe
_symmetry_space_group_name_H-M 'P 4/n m m'
_symmetry_Int_Tables_number 129
_cell_length_a 4.1854
_cell_length_b 4.1854
_cell_length_c 8.1208
_cell_angle_alpha 90.00
_cell_angle_beta 90.00
_cell_angle_gamma 90.00
loop_
_symmetry_equiv_pos_as_xyz
'x,y,z'
'-x,-y,-z'
'-y+1/2,x,z'
'y+1/2,-x,-z'
'-x+1/2,-y+1/2,z'
'x+1/2,y+1/2,-z'
'y,-x+1/2,z'
'-y,x+1/2,-z'
'x+1/2,-y,-z'
'-x+1/2,y,z'
'-y,-x,-z'
'y,x,z'
'-x,y+1/2,-z'
'x,-y+1/2,z'
'y+1/2,x+1/2,-z'
'-y+1/2,-x+1/2,z'
loop_
_atom_site_label
_atom_site_type_symbol
_atom_site_fract_x
_atom_site_fract_y
_atom_site_fract_z
Sr1 Sr 0.2500 0.2500 0.1813
Co1 Co 0.2500 0.2500 0.6450
Re1 Re 0.2500 0.7500 0.5000
```


(5)
SrCo2Re after structural relaxation. Source: Alexandria via LeMat-Bulk, functional PBE.

The structure in CIF format:
```
data_SrCo2Re
_symmetry_space_group_name_H-M 'P m m m'
_symmetry_Int_Tables_number 47
_cell_length_a 3.2579
_cell_length_b 4.2581
_cell_length_c 4.8857
_cell_angle_alpha 90.00
_cell_angle_beta 90.00
_cell_angle_gamma 90.00
loop_
_symmetry_equiv_pos_as_xyz
'x,y,z'
'-x,-y,-z'
'-x,-y,z'
'x,y,-z'
'x,-y,-z'
'-x,y,z'
'-x,y,-z'
'x,-y,z'
loop_
_atom_site_label
_atom_site_type_symbol
_atom_site_fract_x
_atom_site_fract_y
_atom_site_fract_z
Sr1 Sr 0.0000 0.0000 0.0000
Co1 Co 0.0000 0.5000 0.5000
Co2 Co 0.5000 0.5000 0.0000
Re1 Re 0.5000 0.0000 0.5000
```


(6)
SrCo2Re after structural relaxation. Source: Alexandria via LeMat-Bulk, functional PBE.

The structure in CIF format:
```
data_SrCo2Re
_symmetry_space_group_name_H-M 'R 3 m'
_symmetry_Int_Tables_number 160
_symmetry_space_group_name_Hall 'R 3 -2"'
_cell_length_a 4.1150
_cell_length_b 4.1150
_cell_length_c 16.7259
_cell_angle_alpha 90.00
_cell_angle_beta 90.00
_cell_angle_gamma 120.00
loop_
_atom_site_label
_atom_site_type_symbol
_atom_site_fract_x
_atom_site_fract_y
_atom_site_fract_z
Sr1 Sr 0.0000 0.0000 0.0000
Co1 Co 0.0000 0.0000 0.1879
Co2 Co 0.0000 0.0000 0.4907
Re1 Re 0.0000 0.0000 0.8119
```


(7)
SrCo2Re after structural relaxation. Source: Alexandria via LeMat-Bulk, functional PBE.

The structure in CIF format:
```
data_SrCo2Re
_symmetry_space_group_name_H-M 'P 4 m m'
_symmetry_Int_Tables_number 99
_cell_length_a 3.0089
_cell_length_b 3.0089
_cell_length_c 7.4866
_cell_angle_alpha 90.00
_cell_angle_beta 90.00
_cell_angle_gamma 90.00
loop_
_symmetry_equiv_pos_as_xyz
'x,y,z'
'-y,x,z'
'-x,-y,z'
'y,-x,z'
'-x,y,z'
'y,x,z'
'x,-y,z'
'-y,-x,z'
loop_
_atom_site_label
_atom_site_type_symbol
_atom_site_fract_x
_atom_site_fract_y
_atom_site_fract_z
Sr1 Sr 0.0000 0.0000 0.0000
Co1 Co 0.0000 0.0000 0.5288
Co2 Co 0.5000 0.5000 0.6746
Re1 Re 0.5000 0.5000 0.3396
```


(8)
SrCoRe after structural relaxation. Source: Alexandria via LeMat-Bulk, functional PBE.

The structure in CIF format:
```
data_SrCoRe
_symmetry_space_group_name_H-M 'P n m a'
_symmetry_Int_Tables_number 62
_cell_length_a 5.3824
_cell_length_b 4.1602
_cell_length_c 10.7501
_cell_angle_alpha 90.00
_cell_angle_beta 90.00
_cell_angle_gamma 90.00
loop_
_symmetry_equiv_pos_as_xyz
'x,y,z'
'-x,-y,-z'
'-x+1/2,-y,z+1/2'
'x+1/2,y,-z+1/2'
'x+1/2,-y+1/2,-z+1/2'
'-x+1/2,y+1/2,z+1/2'
'-x,y+1/2,-z'
'x,-y+1/2,z'
loop_
_atom_site_label
_atom_site_type_symbol
_atom_site_fract_x
_atom_site_fract_y
_atom_site_fract_z
Sr1 Sr 0.0738 0.2500 0.1243
Co1 Co 0.0627 0.2500 0.4442
Re1 Re 0.0625 0.7500 0.3342
```


| no. | E above lowest polymorph (meV/atom) |
| --- | --- |
| 1 | 258 |
| 2 | 328 |
| 3 | 103 |
| 4 | 44 |
| 5 | 945 |
| 6 | 72 |
| 7 | 350 |
| 8 | 348 |